Below is crystalline NbV2Cl8 at its relaxed geometry, with properties calculated at the GGA-PBE level.

Calculated volume in Å³ per atom: 30.6
Formation energy without anion corrections in eV/atom: -1.054

Cell: 7.6596 7.6596 5.8603 Å, 91.49 91.49 78.82°
Sites, in units of the cell vectors:
Nb  0.0000  0.0000  0.0000
V  0.1714  0.1714  0.3433
V  0.8286  0.8286  0.6567
Cl  0.1094  0.7122  0.7792
Cl  0.1618  0.1618  0.7369
Cl  0.2878  0.8906  0.2208
Cl  0.3502  0.3502  0.2666
Cl  0.6498  0.6498  0.7334
Cl  0.7122  0.1094  0.7792
Cl  0.8382  0.8382  0.2631
Cl  0.8906  0.2878  0.2208

=====

Below is crystalline Tb2PuHg9 at its relaxed geometry, with properties calculated at the GGA-PBE level.

Calculated formation energy in meV/atom: -242
Calculated volume in Å³ per atom: 25.0

Cell: 4.5765 4.7303 13.8642 Å, 90.00 90.00 90.00°
Sites, in units of the cell vectors:
Tb  0.0000  0.0000  0.1644
Tb  0.0000  0.0000  0.8356
Pu  0.0000  0.0000  0.5000
Hg  0.0000  0.5000  0.0000
Hg  0.0000  0.5000  0.3295
Hg  0.0000  0.5000  0.6705
Hg  0.5000  0.0000  0.0000
Hg  0.5000  0.0000  0.3284
Hg  0.5000  0.0000  0.6716
Hg  0.5000  0.5000  0.1611
Hg  0.5000  0.5000  0.5000
Hg  0.5000  0.5000  0.8389

=====

Below is crystalline SmErCuIr at its relaxed geometry, with properties calculated at the GGA-PBE level.

Calculated formation energy in meV/atom: -545
Calculated volume in Å³ per atom: 20.9
Energy relative to the lowest polymorph listed for this composition in eV per atom: 0.011

Cell: 4.9056 4.9056 4.9056 Å, 60.00 60.00 60.00°
Sites, in units of the cell vectors:
Sm  0.0000  0.0000  0.0000
Er  0.5000  0.5000  0.5000
Cu  0.2500  0.2500  0.2500
Ir  0.7500  0.7500  0.7500

=====

Below is crystalline AsP2AuO at its relaxed geometry, with properties calculated at the GGA-PBE level.

Calculated volume in Å³ per atom: 16.6
Energy relative to the lowest polymorph listed for this composition in eV per atom: 0.000
Formation energy without anion corrections in eV/atom: 0.441

Cell: 4.8311 4.8311 3.5662 Å, 90.00 90.00 90.00°
Sites, in units of the cell vectors:
As  0.0000  0.0000  0.0000
P  0.0000  0.5000  0.0000
P  0.5000  0.0000  0.0000
Au  0.5000  0.5000  0.5000
O  0.0000  0.0000  0.5000